Zn5Ag2: relaxed, PBE.

The structure belongs to space group C2/m (No. 12); the cell edges are 8.875, 3.950 and 6.292 Å and the angles 90.00°, 98.24° and 90.00°. Symmetry generates all atoms from Zn at (0.000, 0.000, 0.000), Zn at (0.145, 0.000, 0.426), Zn at (0.216, 0.500, 0.145) and Ag at (0.072, 0.500, 0.722).

The relative energy among the computed polymorphs is 0.000 eV per atom. Its crystal system is monoclinic. The value obtained for the density of states at the Fermi level is 2.79 states/eV/cell. The total energy is -24.3 eV for the cell shown.

Zn3Ag2: relaxed, PBE.

The structure belongs to space group R-3m (No. 166, hexagonal axes); the cell edges are 2.8563, 2.8563 and 34.4084 Å and the angles 90.00°, 90.00° and 120.00°. Symmetry generates all atoms from Zn at (0.0000, 0.0000, 0.0000), Zn at (0.0000, 0.0000, 0.1998) and Ag at (0.0000, 0.0000, 0.4003).

The relative energy among the computed polymorphs is 0.022 eV per atom. Its crystal system is trigonal. The value obtained for the density of states at the Fermi level is 4.23 states/eV/cell. The total energy is -28.6 eV for the cell shown.

ZnAg: relaxed, PBE.

The structure belongs to space group P6_3/mmc (No. 194); the cell edges are 3.9863, 3.9863 and 5.6592 Å and the angles 90.00°, 90.00° and 120.00°. Symmetry generates all atoms from Zn at (0.3333, 0.6667, 0.2500) and Ag at (0.0000, 0.0000, 0.0000).

Its crystal system is hexagonal. The value obtained for the density of states at the Fermi level is 0.93 states/eV/cell. The total energy is -7.7 eV for the cell shown.

Computed total magnetic moment, in the same sequence as the records: 0.00; 0.00; 0.00 μB per formula unit.